RePb2AuI: optimized geometry, GGA-PBE.

abc: 5.403 5.272 5.403
angles: 90.00 90.00 90.00
Fractional positions:
Au1 0.500 0.500 0.500
Pb1 0.000 0.000 0.500
Pb2 0.500 0.000 0.000
I1 0.000 0.500 0.000
Re1 0.000 0.000 0.000

Total DFT energy (no corrections) ... -4.160 eV/atom
Size of the total moment ... 0.0000 μB/atom
ΔE_f (raw) ... 779 meV/atom
Space-group type ... No. 123



CsLaTeN2: optimized geometry, GGA-PBE.

abc: 5.109 5.109 6.423
angles: 90.00 90.00 90.00
Last column: magnetic moment on the atom in μB.
Fractional positions:
N1 0.500 0.000 0.000  1.13
N2 0.000 0.500 0.000  1.13
La1 0.000 0.000 0.000  0.03
Cs1 0.500 0.500 0.500  0.02
Te1 0.000 0.000 0.500  0.27

Energy relative to the lowest polymorph listed for this composition ... 0.0 meV per atom
Total DFT energy (no corrections) ... -4.770 eV/atom
Size of the total moment ... 0.8056 μB/atom
ΔE_f (raw) ... 344 meV/atom
Space-group type ... No. 123



> Which of these has the highest size of the total moment?

CsLaTeN2